## CsNa4Sn (GGA-PBE)

Data for a relaxed structure of CsNa4Sn.

abc: 7.1760 6.7605 9.6729
angles: 90.00 90.00 90.00
Element x y z (fractional)
Cs 0.0000 0.2357 0.0000
Cs 0.5000 0.7643 0.5000
Na 0.0000 0.0111 0.6177
Na 0.0000 0.7255 0.2783
Na 0.2486 0.3068 0.3748
Na 0.2514 0.6932 0.8748
Na 0.5000 0.2745 0.7783
Na 0.5000 0.9889 0.1177
Na 0.7486 0.6932 0.8748
Na 0.7514 0.3068 0.3748
Sn 0.0000 0.5058 0.6192
Sn 0.5000 0.4942 0.1192

Values from the calculation:
The electronic total energy comes out at -21.1 eV for the cell shown. As for the space-group type: Pmn2_1, No. 31. The calculation puts the density of states at the Fermi level at 5.27 states/eV/cell. Its theoretical density is 2432 kg/m3. For the relative energy among the computed polymorphs, the calculation gives 0 meV per atom. The size of the total moment is 0.0 μB/cell. The formation energy from the elements is -68 meV per atom.